VASP calculation (PBE) on a geometry-optimized Cd2NiHg structure.

Cell and atoms, written as CIF:
```
data_Cd2NiHg
_chemical_formula_sum 'Cd4 Ni2 Hg2'
_cell_length_a 13.439
_cell_length_b 2.912
_cell_length_c 4.522
_cell_angle_alpha 90.00
_cell_angle_beta 109.55
_cell_angle_gamma 90.00
_space_group_name_H-M_alt 'P 1'
_space_group_IT_number 1
loop_
_space_group_symop_operation_xyz
'x,y,z'
loop_
_atom_site_label
_atom_site_fract_x
_atom_site_fract_y
_atom_site_fract_z
_atom_site_occupancy
Cd1 0.000 0.000 0.000 1
Cd2 0.178 0.000 0.678 1
Cd3 0.500 0.500 0.000 1
Cd4 0.678 0.500 0.678 1
Ni1 0.180 0.500 0.179 1
Ni2 0.680 0.000 0.179 1
Hg1 0.363 0.000 0.361 1
Hg2 0.863 0.500 0.361 1
```

Summary:
crystal system	monoclinic
symmetry	No. 8
total moment	0.000	μB/f.u.
DOS at the Fermi energy	4.1	states/eV per cell
calculated volume	20.8	Å³ per atom
ΔE_f	0.054	eV per atom



VASP calculation (PBE) on a geometry-optimized CdNi2Hg2 structure.

Cell and atoms, written as CIF:
```
data_CdNi2Hg2
_chemical_formula_sum 'Cd2 Ni4 Hg4'
_cell_length_a 7.659
_cell_length_b 7.659
_cell_length_c 2.998
_cell_angle_alpha 90.00
_cell_angle_beta 90.00
_cell_angle_gamma 90.00
_space_group_name_H-M_alt 'P 1'
_space_group_IT_number 1
loop_
_space_group_symop_operation_xyz
'x,y,z'
loop_
_atom_site_label
_atom_site_fract_x
_atom_site_fract_y
_atom_site_fract_z
_atom_site_occupancy
Cd1 0.000 0.000 0.000 1
Cd2 0.500 0.500 0.000 1
Ni1 0.157 0.343 0.500 1
Ni2 0.343 0.843 0.500 1
Ni3 0.657 0.157 0.500 1
Ni4 0.843 0.657 0.500 1
Hg1 0.141 0.641 0.000 1
Hg2 0.359 0.141 0.000 1
Hg3 0.641 0.859 0.000 1
Hg4 0.859 0.359 0.000 1
```

Summary:
crystal system	tetragonal
symmetry	No. 127
total moment	0.000	μB/f.u.
DOS at the Fermi energy	5.7	states/eV per cell
calculated volume	17.6	Å³ per atom
ΔE_f	0.238	eV per atom
excess energy over the best structure of this formula in the dataset	0.1048	eV per atom



VASP calculation (PBE) on a geometry-optimized Cd2Ni2Hg structure.

Cell and atoms, written as CIF:
```
data_Cd2Ni2Hg
_chemical_formula_sum 'Cd4 Ni4 Hg2'
_cell_length_a 3.971
_cell_length_b 3.971
_cell_length_c 11.779
_cell_angle_alpha 90.00
_cell_angle_beta 90.00
_cell_angle_gamma 90.00
_space_group_name_H-M_alt 'P 1'
_space_group_IT_number 1
loop_
_space_group_symop_operation_xyz
'x,y,z'
loop_
_atom_site_label
_atom_site_fract_x
_atom_site_fract_y
_atom_site_fract_z
_atom_site_occupancy
Cd1 0.000 0.500 0.250 1
Cd2 0.000 0.500 0.750 1
Cd3 0.500 0.000 0.250 1
Cd4 0.500 0.000 0.750 1
Ni1 0.000 0.000 0.097 1
Ni2 0.000 0.000 0.903 1
Ni3 0.500 0.500 0.403 1
Ni4 0.500 0.500 0.597 1
Hg1 0.000 0.000 0.500 1
Hg2 0.500 0.500 0.000 1
```

Summary:
crystal system	tetragonal
symmetry	No. 139
total moment	0.000	μB/f.u.
DOS at the Fermi energy	5.3	states/eV per cell
calculated volume	18.6	Å³ per atom
ΔE_f	0.313	eV per atom
excess energy over the best structure of this formula in the dataset	0.2405	eV per atom



VASP calculation (PBE) on a geometry-optimized CdNi2Hg2 structure.

Cell and atoms, written as CIF:
```
data_CdNi2Hg2
_chemical_formula_sum 'Cd2 Ni4 Hg4'
_cell_length_a 3.365
_cell_length_b 3.365
_cell_length_c 16.863
_cell_angle_alpha 90.00
_cell_angle_beta 90.00
_cell_angle_gamma 90.00
_space_group_name_H-M_alt 'P 1'
_space_group_IT_number 1
loop_
_space_group_symop_operation_xyz
'x,y,z'
loop_
_atom_site_label
_atom_site_fract_x
_atom_site_fract_y
_atom_site_fract_z
_atom_site_occupancy
Cd1 0.000 0.000 0.000 1
Cd2 0.500 0.500 0.500 1
Ni1 0.000 0.500 0.250 1
Ni2 0.000 0.500 0.750 1
Ni3 0.500 0.000 0.250 1
Ni4 0.500 0.000 0.750 1
Hg1 0.000 0.000 0.377 1
Hg2 0.000 0.000 0.623 1
Hg3 0.500 0.500 0.123 1
Hg4 0.500 0.500 0.877 1
```

Summary:
crystal system	tetragonal
symmetry	No. 139
total moment	0.663	μB/f.u.
DOS at the Fermi energy	11.8	states/eV per cell
calculated volume	19.1	Å³ per atom
ΔE_f	0.270	eV per atom
excess energy over the best structure of this formula in the dataset	0.1361	eV per atom



VASP calculation (PBE) on a geometry-optimized CdNiHg3 structure.

Cell and atoms, written as CIF:
```
data_CdNiHg3
_chemical_formula_sum 'Cd1 Ni1 Hg3'
_cell_length_a 5.536
_cell_length_b 5.536
_cell_length_c 5.536
_cell_angle_alpha 90.00
_cell_angle_beta 90.00
_cell_angle_gamma 90.00
_space_group_name_H-M_alt 'P 1'
_space_group_IT_number 1
loop_
_space_group_symop_operation_xyz
'x,y,z'
loop_
_atom_site_label
_atom_site_fract_x
_atom_site_fract_y
_atom_site_fract_z
_atom_site_occupancy
Cd1 0.000 0.000 0.000 1
Ni1 0.500 0.500 0.500 1
Hg1 0.000 0.000 0.500 1
Hg2 0.000 0.500 0.000 1
Hg3 0.500 0.000 0.000 1
```

Summary:
crystal system	cubic
symmetry	No. 221
total moment	1.106	μB/f.u.
DOS at the Fermi energy	12.3	states/eV per cell
calculated volume	33.9	Å³ per atom
ΔE_f	0.856	eV per atom
excess energy over the best structure of this formula in the dataset	0.6810	eV per atom



VASP calculation (PBE) on a geometry-optimized CdNi2Hg structure.

Cell and atoms, written as CIF:
```
data_CdNi2Hg
_chemical_formula_sum 'Cd2 Ni4 Hg2'
_cell_length_a 8.589
_cell_length_b 2.986
_cell_length_c 5.123
_cell_angle_alpha 90.00
_cell_angle_beta 101.65
_cell_angle_gamma 90.00
_space_group_name_H-M_alt 'P 1'
_space_group_IT_number 1
loop_
_space_group_symop_operation_xyz
'x,y,z'
loop_
_atom_site_label
_atom_site_fract_x
_atom_site_fract_y
_atom_site_fract_z
_atom_site_occupancy
Cd1 0.000 0.000 0.000 1
Cd2 0.500 0.500 0.000 1
Ni1 0.250 0.000 0.754 1
Ni2 0.250 0.500 0.246 1
Ni3 0.750 0.000 0.246 1
Ni4 0.750 0.500 0.754 1
Hg1 0.000 0.500 0.500 1
Hg2 0.500 0.000 0.500 1
```

Summary:
crystal system	monoclinic
symmetry	No. 12
total moment	0.001	μB/f.u.
DOS at the Fermi energy	8.3	states/eV per cell
calculated volume	16.1	Å³ per atom
ΔE_f	0.264	eV per atom



In the order shown, the computed DFT total energy values come out to -15.40, -23.78, -24.26, -23.47, -3.32, -23.45 eV per cell.